Record 1
# La3InCl PBE-GGA relaxed
# V   646.5 Å³/cell
# Energy relative to the elements, uncorrected   -0.78 eV per atom
# Calculated total energy   -93.2 eV for the cell shown
data_La3InCl
_chemical_formula_sum 'La12 In4 Cl4'
_symmetry_space_group_name_H-M 'C 1 2/m 1'
_symmetry_Int_Tables_number 12
_cell_length_a 15.415
_cell_length_b 4.484
_cell_length_c 9.452
_cell_angle_alpha 90.00
_cell_angle_beta 98.38
_cell_angle_gamma 90.00
loop_
_symmetry_equiv_pos_as_xyz
'x,y,z'
'-x,-y,-z'
'-x,y,-z'
'x,-y,z'
'x+1/2,y+1/2,z'
'-x+1/2,-y+1/2,-z'
'-x+1/2,y+1/2,-z'
'x+1/2,-y+1/2,z'
loop_
_atom_site_label
_atom_site_fract_x
_atom_site_fract_y
_atom_site_fract_z
La1 0.040 0.000 0.299
La2 0.135 0.500 0.955
La3 0.242 0.000 0.659
In1 0.092 0.500 0.574
Cl1 0.193 0.000 0.150


Record 2
# La6CdOs2 PBE-GGA relaxed
# V   530.0 Å³/cell
# Energy relative to the elements   -0.148 eV/atom
# Calculated total energy   -108.5 eV for the cell shown
data_La6CdOs2
_chemical_formula_sum 'La12 Cd2 Os4'
_symmetry_space_group_name_H-M 'C 1 2/m 1'
_symmetry_Int_Tables_number 12
_cell_length_a 10.566
_cell_length_b 5.300
_cell_length_c 9.572
_cell_angle_alpha 90.00
_cell_angle_beta 98.56
_cell_angle_gamma 90.00
loop_
_symmetry_equiv_pos_as_xyz
'x,y,z'
'-x,-y,-z'
'-x,y,-z'
'x,-y,z'
'x+1/2,y+1/2,z'
'-x+1/2,-y+1/2,-z'
'-x+1/2,y+1/2,-z'
'x+1/2,-y+1/2,z'
loop_
_atom_site_label
_atom_site_fract_x
_atom_site_fract_y
_atom_site_fract_z
La1 0.072 0.000 0.351
La2 0.119 0.500 0.661
La3 0.195 0.500 0.114
Cd1 0.000 0.000 0.000
Os1 0.228 0.500 0.387


Record 3
# Cs2NdRe2N6 PBE-GGA relaxed
# V   485.5 Å³/cell
# Energy relative to the elements, uncorrected   -0.32 eV per atom
# Calculated total energy   -169.6 eV for the cell shown
data_Cs2NdRe2N6
_chemical_formula_sum 'Cs4 Nd2 Re4 N12'
_symmetry_space_group_name_H-M 'C 1 2/m 1'
_symmetry_Int_Tables_number 12
_cell_length_a 11.398
_cell_length_b 6.577
_cell_length_c 7.514
_cell_angle_alpha 90.00
_cell_angle_beta 120.46
_cell_angle_gamma 90.00
loop_
_symmetry_equiv_pos_as_xyz
'x,y,z'
'-x,-y,-z'
'-x,y,-z'
'x,-y,z'
'x+1/2,y+1/2,z'
'-x+1/2,-y+1/2,-z'
'-x+1/2,y+1/2,-z'
'x+1/2,-y+1/2,z'
loop_
_atom_site_label
_atom_site_fract_x
_atom_site_fract_y
_atom_site_fract_z
Cs1 0.224 0.000 0.173
Nd1 0.000 0.000 0.500
Re1 0.070 0.500 0.211
N1 0.017 0.272 0.281
N2 0.246 0.500 0.283


Record 4
# Ho2BeAl PBE-GGA relaxed
# V   303.2 Å³/cell
# Energy relative to the elements   0.578 eV/atom
# Calculated total energy   -42.9 eV for the cell shown
data_Ho2BeAl
_chemical_formula_sum 'Ho6 Be3 Al3'
_symmetry_space_group_name_H-M 'R -3 m'
_symmetry_Int_Tables_number 166
_symmetry_space_group_name_Hall '-R 3 2"'
_cell_length_a 3.3494
_cell_length_b 3.3494
_cell_length_c 31.2059
_cell_angle_alpha 90.00
_cell_angle_beta 90.00
_cell_angle_gamma 120.00
loop_
_atom_site_label
_atom_site_fract_x
_atom_site_fract_y
_atom_site_fract_z
Ho1 0.0000 0.0000 0.0927
Be1 0.0000 0.0000 0.0000
Al1 0.0000 0.0000 0.5000


Record 5
# Dy4Y5Ho3 PBE-GGA relaxed
# V   379.4 Å³/cell
# Energy relative to the elements   0.022 eV/atom
# Calculated total energy   -64.2 eV for the cell shown
data_Dy4Y5Ho3
_chemical_formula_sum 'Dy4 Y5 Ho3'
_symmetry_space_group_name_H-M 'P -1'
_symmetry_Int_Tables_number 2
_cell_length_a 6.149
_cell_length_b 7.103
_cell_length_c 8.686
_cell_angle_alpha 89.98
_cell_angle_beta 89.89
_cell_angle_gamma 89.90
loop_
_symmetry_equiv_pos_as_xyz
'x,y,z'
'-x,-y,-z'
loop_
_atom_site_label
_atom_site_fract_x
_atom_site_fract_y
_atom_site_fract_z
Dy1 0.166 0.000 0.335
Dy2 0.334 0.750 0.667
Y1 0.000 0.250 0.000
Y2 0.168 0.500 0.334
Y3 0.500 0.000 0.000
Ho1 0.334 0.249 0.667
Ho2 0.500 0.500 0.000


Record 6
# BeCu2Au PBE-GGA relaxed
# V   50.0 Å³/cell
# Energy relative to the elements   -0.060 eV/atom
# Calculated total energy   -15.4 eV for the cell shown
data_BeCu2Au
_chemical_formula_sum 'Be1 Cu2 Au1'
_symmetry_space_group_name_H-M 'P 4 m m'
_symmetry_Int_Tables_number 99
_cell_length_a 2.863
_cell_length_b 2.863
_cell_length_c 6.096
_cell_angle_alpha 90.00
_cell_angle_beta 90.00
_cell_angle_gamma 90.00
loop_
_symmetry_equiv_pos_as_xyz
'x,y,z'
'-y,x,z'
'-x,-y,z'
'y,-x,z'
'-x,y,z'
'y,x,z'
'x,-y,z'
'-y,-x,z'
loop_
_atom_site_label
_atom_site_fract_x
_atom_site_fract_y
_atom_site_fract_z
Be1 0.000 0.000 0.000
Cu1 0.000 0.000 0.443
Cu2 0.500 0.500 0.200
Au1 0.500 0.500 0.753


Record 7
# BaCeCdIn PBE-GGA relaxed
# V   537.5 Å³/cell
# Energy relative to the elements   -0.183 eV/atom
# Calculated total energy   -49.0 eV for the cell shown
data_BaCeCdIn
_chemical_formula_sum 'Ba4 Ce4 Cd4 In4'
_symmetry_space_group_name_H-M 'F -4 3 m'
_symmetry_Int_Tables_number 216
_symmetry_space_group_name_Hall 'F -4 2 3'
_cell_length_a 8.131
_cell_length_b 8.131
_cell_length_c 8.131
_cell_angle_alpha 90.00
_cell_angle_beta 90.00
_cell_angle_gamma 90.00
loop_
_atom_site_label
_atom_site_fract_x
_atom_site_fract_y
_atom_site_fract_z
Ba1 0.000 0.000 0.000
Ce1 0.000 0.000 0.500
Cd1 0.250 0.250 0.250
In1 0.250 0.250 0.750


Record 8
# KLi2Tc PBE-GGA relaxed
# V   367.3 Å³/cell
# Energy relative to the elements   0.999 eV/atom
# Calculated total energy   -45.2 eV for the cell shown
data_KLi2Tc
_chemical_formula_sum 'K4 Li8 Tc4'
_symmetry_space_group_name_H-M 'F m -3 m'
_symmetry_Int_Tables_number 225
_symmetry_space_group_name_Hall '-F 4 2 3'
_cell_length_a 7.162
_cell_length_b 7.162
_cell_length_c 7.162
_cell_angle_alpha 90.00
_cell_angle_beta 90.00
_cell_angle_gamma 90.00
loop_
_atom_site_label
_atom_site_fract_x
_atom_site_fract_y
_atom_site_fract_z
K1 0.000 0.000 0.000
Li1 0.250 0.250 0.250
Tc1 0.000 0.000 0.500


Record 9
# Er6Tm2In PBE-GGA relaxed
# V   551.1 Å³/cell
# Energy relative to the elements   0.030 eV/atom
# Calculated total energy   -77.6 eV for the cell shown
data_Er6Tm2In
_chemical_formula_sum 'Er12 Tm4 In2'
_symmetry_space_group_name_H-M 'C 1 2/m 1'
_symmetry_Int_Tables_number 12
_cell_length_a 17.203
_cell_length_b 9.238
_cell_length_c 3.468
_cell_angle_alpha 90.00
_cell_angle_beta 90.13
_cell_angle_gamma 90.00
loop_
_symmetry_equiv_pos_as_xyz
'x,y,z'
'-x,-y,-z'
'-x,y,-z'
'x,-y,z'
'x+1/2,y+1/2,z'
'-x+1/2,-y+1/2,-z'
'-x+1/2,y+1/2,-z'
'x+1/2,-y+1/2,z'
loop_
_atom_site_label
_atom_site_fract_x
_atom_site_fract_y
_atom_site_fract_z
Er1 0.000 0.195 0.000
Er2 0.163 0.324 0.499
Tm1 0.182 0.000 0.998
In1 0.000 0.500 0.500


Record 10
# PmEr2Th2 PBE-GGA relaxed
# V   160.2 Å³/cell
# Energy relative to the elements   0.033 eV/atom
# Calculated total energy   -28.6 eV for the cell shown
data_PmEr2Th2
_chemical_formula_sum 'Pm1 Er2 Th2'
_symmetry_space_group_name_H-M 'P -3 m 1'
_symmetry_Int_Tables_number 164
_symmetry_space_group_name_Hall '-P 3 2"'
_cell_length_a 3.5601
_cell_length_b 3.5601
_cell_length_c 14.5957
_cell_angle_alpha 90.00
_cell_angle_beta 90.00
_cell_angle_gamma 120.00
loop_
_atom_site_label
_atom_site_fract_x
_atom_site_fract_y
_atom_site_fract_z
Pm1 0.0000 0.0000 0.0000
Er1 0.3333 0.6667 0.8003
Th1 0.3333 0.6667 0.4007


Record 11
# GaP2RuCl PBE-GGA relaxed
# V   112.6 Å³/cell
# Energy relative to the elements, uncorrected   0.24 eV per atom
# Calculated total energy   -23.8 eV for the cell shown
data_GaP2RuCl
_chemical_formula_sum 'Ga1 P2 Ru1 Cl1'
_symmetry_space_group_name_H-M 'P 4/m m m'
_symmetry_Int_Tables_number 123
_symmetry_space_group_name_Hall '-P 4 2'
_cell_length_a 4.544
_cell_length_b 4.544
_cell_length_c 5.451
_cell_angle_alpha 90.00
_cell_angle_beta 90.00
_cell_angle_gamma 90.00
loop_
_atom_site_label
_atom_site_fract_x
_atom_site_fract_y
_atom_site_fract_z
Ga1 0.000 0.000 0.000
P1 0.000 0.500 0.500
Ru1 0.500 0.500 0.500
Cl1 0.500 0.500 0.000


Record 12
# KCu2Os PBE-GGA relaxed
# V   416.8 Å³/cell
# Energy relative to the elements   1.164 eV/atom
# Calculated total energy   -63.5 eV for the cell shown
data_KCu2Os
_chemical_formula_sum 'K4 Cu8 Os4'
_symmetry_space_group_name_H-M 'I 41/a m d'
_symmetry_Int_Tables_number 141
_cell_length_a 5.018
_cell_length_b 5.018
_cell_length_c 16.553
_cell_angle_alpha 90.00
_cell_angle_beta 90.00
_cell_angle_gamma 90.00
loop_
_symmetry_equiv_pos_as_xyz
'x,y,z'
'-x,-y,-z'
'-y+1/4,x+3/4,z+1/4'
'y+1/4,-x+3/4,-z+1/4'
'-x+1/2,-y,z+1/2'
'x+1/2,y,-z+1/2'
'y+1/4,-x+1/4,z+3/4'
'-y+1/4,x+1/4,-z+3/4'
'x,-y,-z'
'-x,y,z'
'-y+1/4,-x+1/4,-z+3/4'
'y+1/4,x+1/4,z+3/4'
'-x+1/2,y,-z+1/2'
'x+1/2,-y,z+1/2'
'y+1/4,x+3/4,-z+1/4'
'-y+1/4,-x+3/4,z+1/4'
'x+1/2,y+1/2,z+1/2'
'-x+1/2,-y+1/2,-z+1/2'
'-y+3/4,x+1/4,z+3/4'
'y+3/4,-x+1/4,-z+3/4'
'-x,-y+1/2,z'
'x,y+1/2,-z'
'y+3/4,-x+3/4,z+1/4'
'-y+3/4,x+3/4,-z+1/4'
'x+1/2,-y+1/2,-z+1/2'
'-x+1/2,y+1/2,z+1/2'
'-y+3/4,-x+3/4,-z+1/4'
'y+3/4,x+3/4,z+1/4'
'-x,y+1/2,-z'
'x,-y+1/2,z'
'y+3/4,x+1/4,-z+3/4'
'-y+3/4,-x+1/4,z+3/4'
loop_
_atom_site_label
_atom_site_fract_x
_atom_site_fract_y
_atom_site_fract_z
K1 0.000 0.250 0.375
Cu1 0.000 0.000 0.000
Os1 0.000 0.250 0.875